A plane-wave DFT calculation with PBE-GGA was carried out for crystalline La2Ho3Er6Sc at its relaxed geometry.

Calculated values
Formation enthalpy at 0 K (eV/atom): 0.032

Cell lengths 6.112, 10.586, 11.706 Å; angles 90.00, 99.99, 90.00 degrees
Space group C2/m (No. 12)
Symmetry-distinct sites (fractional):
La 0.000 0.166 0.000 (multiplicity 4)
Ho 0.000 0.000 0.500 (multiplicity 2)
Ho 0.000 0.334 0.500 (multiplicity 4)
Er 0.246 0.500 0.747 (multiplicity 4)
Er 0.249 0.335 0.253 (multiplicity 8)
Sc 0.000 0.500 0.000 (multiplicity 2)

A plane-wave DFT calculation with PBE-GGA was carried out for crystalline La6Ho2ErSc at its relaxed geometry.

Calculated values
Formation enthalpy at 0 K (eV/atom): 0.189

Cell lengths 11.456, 7.100, 8.857 Å; angles 90.00, 106.62, 90.00 degrees
Space group C2/m (No. 12)
Symmetry-distinct sites (fractional):
La 0.135 0.000 0.430 (multiplicity 4)
La 0.177 0.277 0.796 (multiplicity 8)
Ho 0.088 0.500 0.178 (multiplicity 4)
Er 0.000 0.000 0.000 (multiplicity 2)
Sc 0.000 0.500 0.500 (multiplicity 2)

A plane-wave DFT calculation with PBE-GGA was carried out for crystalline LaHo2ErSe4 at its relaxed geometry.

Calculated values
Formation energy from raw total energies (meV/atom): -1773

Cell lengths 7.108, 4.054, 7.237 Å; angles 90.00, 108.68, 90.00 degrees
Space group P2/m (No. 10)
Symmetry-distinct sites (fractional):
La 0.000 0.000 0.000 (multiplicity 1)
Ho 0.500 0.000 0.500 (multiplicity 1)
Ho 0.500 0.500 0.000 (multiplicity 1)
Er 0.000 0.500 0.500 (multiplicity 1)
Se 0.255 0.000 0.742 (multiplicity 2)
Se 0.263 0.500 0.265 (multiplicity 2)

A plane-wave DFT calculation with PBE-GGA was carried out for crystalline La3Ho3ErSe8 at its relaxed geometry.

Calculated values
Formation energy from raw total energies (meV/atom): -1905

Cell lengths 8.2499, 8.2499, 20.7981 Å; angles 90.00, 90.00, 120.00 degrees
Space group R-3m (No. 166, hexagonal axes)
Symmetry-distinct sites (fractional):
La 0.0000 0.5000 0.0000 (multiplicity 9)
Ho 0.0000 0.5000 0.5000 (multiplicity 9)
Er 0.0000 0.0000 0.5000 (multiplicity 3)
Se 0.0000 0.0000 0.2434 (multiplicity 6)
Se 0.0035 0.5018 0.7557 (multiplicity 18)

A plane-wave DFT calculation with PBE-GGA was carried out for crystalline LaHo3Er2Se6 at its relaxed geometry.

Calculated values
Formation energy from raw total energies (meV/atom): -1755

Cell lengths 7.071, 12.311, 7.092 Å; angles 90.00, 109.57, 90.00 degrees
Space group C2/m (No. 12)
Symmetry-distinct sites (fractional):
La 0.000 0.000 0.000 (multiplicity 2)
Ho 0.000 0.159 0.500 (multiplicity 4)
Ho 0.000 0.500 0.500 (multiplicity 2)
Er 0.000 0.333 0.000 (multiplicity 4)
Se 0.236 0.500 0.250 (multiplicity 4)
Se 0.240 0.326 0.742 (multiplicity 8)

A plane-wave DFT calculation with PBE-GGA was carried out for crystalline La2Ho3ErSe6 at its relaxed geometry.

Calculated values
Formation energy from raw total energies (meV/atom): -1806

Cell lengths 18.071, 4.102, 8.369 Å; angles 90.00, 103.92, 90.00 degrees
Space group C2/m (No. 12)
Symmetry-distinct sites (fractional):
La 0.167 0.000 0.334 (multiplicity 4)
Ho 0.000 0.500 0.500 (multiplicity 2)
Ho 0.170 0.000 0.834 (multiplicity 4)
Er 0.000 0.500 0.000 (multiplicity 2)
Se 0.006 0.000 0.755 (multiplicity 4)
Se 0.162 0.500 0.595 (multiplicity 4)
Se 0.164 0.500 0.068 (multiplicity 4)

Number 1: total magnetization 0.000 μB per formula unit, total energy -4.74 eV/atom. Number 2: total magnetization 0.000 μB per formula unit, total energy -4.77 eV/atom. Number 3: total magnetization 0.000 μB per formula unit, total energy -5.85 eV/atom. Number 4: total magnetization 0.000 μB per formula unit, total energy -5.97 eV/atom. Number 5: total magnetization 0.000 μB per formula unit, total energy -5.81 eV/atom. Number 6: total magnetization 0.000 μB per formula unit, total energy -5.89 eV/atom.